Dy3Mg2InPdPt2 after structural relaxation. Source: OQMD via LeMat-Bulk, functional GGA-PBE.

Cell: 3.967 7.513 7.513 Å, 119.76 90.00 90.00°
Fractional coordinates of all 9 atoms:
Dy1 0.000 0.419 0.419
Dy2 0.000 0.994 0.586
Dy3 0.000 0.586 0.994
In1 0.500 0.753 0.753
Mg1 0.500 0.000 0.249
Mg2 0.500 0.249 0.000
Pd1 0.000 0.012 0.012
Pt1 0.500 0.663 0.324
Pt2 0.500 0.324 0.663

Computed properties:
* size of the total moment: 0.02 μB per cell
* space group: Amm2 (38)
* energy: -5.011 eV/atom


Dy3MgIn2PdPt2 after structural relaxation. Source: OQMD via LeMat-Bulk, functional GGA-PBE.

Cell: 3.893 7.642 7.642 Å, 120.32 90.00 90.00°
Fractional coordinates of all 9 atoms:
Dy1 0.000 0.998 0.413
Dy2 0.000 0.591 0.591
Dy3 0.000 0.413 0.998
In1 0.500 0.747 0.001
In2 0.500 0.001 0.747
Mg1 0.500 0.252 0.252
Pd1 0.000 0.008 0.008
Pt1 0.500 0.658 0.331
Pt2 0.500 0.331 0.658

Computed properties:
* size of the total moment: 0.01 μB per cell
* space group: Amm2 (38)
* energy: -5.168 eV/atom


Pr2DyMg4In2 after structural relaxation. Source: OQMD via LeMat-Bulk, functional GGA-PBE.

Cell: 4.775 7.657 7.657 Å, 119.03 90.00 90.00°
Fractional coordinates of all 9 atoms:
Dy1 0.000 0.569 0.569
In1 0.500 0.667 0.340
In2 0.500 0.340 0.667
Mg1 0.500 0.756 0.000
Mg2 0.500 0.242 0.242
Mg3 0.500 0.000 0.756
Mg4 0.000 0.992 0.992
Pr1 0.000 0.431 0.003
Pr2 0.000 0.003 0.431

Computed properties:
* size of the total moment: 0.02 μB per cell
* space group: Amm2 (38)
* energy: -3.169 eV/atom


Dy3Mg3InPt2 after structural relaxation. Source: OQMD via LeMat-Bulk, functional GGA-PBE.

Cell: 7.455 7.455 4.227 Å, 90.00 90.00 120.00°
Fractional coordinates of all 9 atoms:
Dy1 0.574 0.000 0.000
Dy2 0.426 0.426 0.000
Dy3 0.000 0.574 0.000
In1 0.000 0.000 0.000
Mg1 0.259 0.000 0.500
Mg2 0.000 0.259 0.500
Mg3 0.741 0.741 0.500
Pt1 0.667 0.333 0.500
Pt2 0.333 0.667 0.500

Computed properties:
* size of the total moment: 0.01 μB per cell
* space group: P-62m (189)
* energy: -4.403 eV/atom


Dy3Mg3In2Pt after structural relaxation. Source: OQMD via LeMat-Bulk, functional GGA-PBE.

Cell: 7.482 7.482 4.482 Å, 90.00 90.00 120.00°
Fractional coordinates of all 9 atoms:
Dy1 0.602 0.000 0.000
Dy2 0.398 0.398 0.000
Dy3 0.000 0.602 0.000
In1 0.667 0.333 0.500
In2 0.333 0.667 0.500
Mg1 0.232 0.000 0.500
Mg2 0.000 0.232 0.500
Mg3 0.768 0.768 0.500
Pt1 0.000 0.000 0.000

Computed properties:
* size of the total moment: 0.02 μB per cell
* space group: P-62m (189)
* energy: -3.899 eV/atom


DyMgInSe3 after structural relaxation. Source: OQMD via LeMat-Bulk, functional GGA-PBE.

Cell: 7.574 7.574 11.149 Å, 90.00 90.00 147.79°
Fractional coordinates of all 12 atoms:
Dy1 0.000 0.000 0.000
Dy2 0.000 0.000 0.500
In1 0.752 0.248 0.250
In2 0.248 0.752 0.750
Mg1 0.463 0.537 0.250
Mg2 0.537 0.463 0.750
Se1 0.371 0.629 0.057
Se2 0.068 0.932 0.250
Se3 0.371 0.629 0.443
Se4 0.629 0.371 0.557
Se5 0.932 0.068 0.750
Se6 0.629 0.371 0.943

Computed properties:
* size of the total moment: 0.01 μB per cell
* space group: Cmcm (63)
* energy: -4.442 eV/atom


TbDyMgIn after structural relaxation. Source: OQMD via LeMat-Bulk, functional GGA-PBE.

Cell: 5.316 5.316 5.316 Å, 60.00 60.00 60.00°
Fractional coordinates of all 4 atoms:
Dy1 0.500 0.500 0.500
In1 0.750 0.750 0.750
Mg1 0.250 0.250 0.250
Tb1 0.000 0.000 0.000

Computed properties:
* size of the total moment: 0.02 μB per cell
* space group: F-43m (216)
* energy: -3.702 eV/atom


Tb2DyMg3Tl2In after structural relaxation. Source: OQMD via LeMat-Bulk, functional GGA-PBE.

Cell: 4.679 7.530 7.530 Å, 119.97 90.00 90.00°
Fractional coordinates of all 9 atoms:
Dy1 0.000 0.566 0.566
In1 0.000 0.000 0.000
Mg1 0.500 0.759 0.000
Mg2 0.500 0.241 0.241
Mg3 0.500 0.000 0.759
Tb1 0.000 0.434 0.000
Tb2 0.000 0.000 0.434
Tl1 0.500 0.667 0.333
Tl2 0.500 0.333 0.667

Computed properties:
* size of the total moment: 0.00 μB per cell
* space group: Amm2 (38)
* energy: -3.239 eV/atom


DyMgInTe3 after structural relaxation. Source: OQMD via LeMat-Bulk, functional GGA-PBE.

Cell: 7.957 7.957 11.710 Å, 90.00 90.00 147.48°
Fractional coordinates of all 12 atoms:
Te1 0.364 0.636 0.052
Te2 0.077 0.923 0.250
Te3 0.364 0.636 0.448
Te4 0.636 0.364 0.552
Te5 0.923 0.077 0.750
Te6 0.636 0.364 0.948
Dy1 0.000 0.000 0.000
Dy2 0.000 0.000 0.500
In1 0.756 0.244 0.250
In2 0.244 0.756 0.750
Mg1 0.463 0.537 0.250
Mg2 0.537 0.463 0.750

Computed properties:
* size of the total moment: 0.00 μB per cell
* space group: Cmcm (63)
* energy: -3.946 eV/atom


Dy3Mg3TlIn2 after structural relaxation. Source: OQMD via LeMat-Bulk, functional GGA-PBE.

Cell: 7.521 7.521 4.667 Å, 90.00 90.00 120.00°
Fractional coordinates of all 9 atoms:
Dy1 0.567 0.000 0.000
Dy2 0.433 0.433 0.000
Dy3 0.000 0.567 0.000
In1 0.667 0.333 0.500
In2 0.333 0.667 0.500
Mg1 0.243 0.000 0.500
Mg2 0.000 0.243 0.500
Mg3 0.757 0.757 0.500
Tl1 0.000 0.000 0.000

Computed properties:
* size of the total moment: 0.00 μB per cell
* space group: P-62m (189)
* energy: -3.292 eV/atom


Dy3Mg3Tl2In after structural relaxation. Source: OQMD via LeMat-Bulk, functional GGA-PBE.

Cell: 7.520 7.520 4.673 Å, 90.00 90.00 120.00°
Fractional coordinates of all 9 atoms:
Dy1 0.566 0.000 0.000
Dy2 0.434 0.434 0.000
Dy3 0.000 0.566 0.000
In1 0.000 0.000 0.000
Mg1 0.241 0.000 0.500
Mg2 0.000 0.241 0.500
Mg3 0.759 0.759 0.500
Tl1 0.667 0.333 0.500
Tl2 0.333 0.667 0.500

Computed properties:
* size of the total moment: 0.00 μB per cell
* space group: P-62m (189)
* energy: -3.227 eV/atom


DyTmMgIn after structural relaxation. Source: OQMD via LeMat-Bulk, functional GGA-PBE.

Cell: 5.274 5.274 5.274 Å, 60.00 60.00 60.00°
Fractional coordinates of all 4 atoms:
Dy1 0.250 0.250 0.250
In1 0.000 0.000 0.000
Mg1 0.500 0.500 0.500
Tm1 0.750 0.750 0.750

Computed properties:
* size of the total moment: 0.01 μB per cell
* space group: F-43m (216)
* energy: -3.644 eV/atom